The following is a DFT calculation (PBE-GGA) of crystalline PmAl4Ni2Ir at its relaxed geometry. Values from VASP.

Output
N(E_F): 4.59 states/eV/cell
E_tot: -5.65 eV per atom
density: 7036 kg/m³
energy relative to the elements: -0.63 eV/atom
M_tot: 0.0 μB per cell

Geometry as Quantum ESPRESSO input:
```
&SYSTEM
  ibrav = 0, nat = 8, ntyp = 4
/
ATOMIC_SPECIES
Al 26.98 Al.upf
Ni 58.69 Ni.upf
Pm 145.00 Pm.upf
Ir 192.22 Ir.upf
ATOMIC_POSITIONS angstrom
Al -8.205 1.438 -1.635
Ni -9.138 -0.836 -2.235
Pm 0.000 0.000 0.000
Ir -6.371 -0.294 -1.509
Al -7.237 -2.633 -2.104
Ni -3.604 0.248 -0.783
Al -4.538 -2.026 -1.383
Al -5.505 2.045 -0.914
CELL_PARAMETERS angstrom
-1.874 -2.198 -2.948
-2.783 -2.872 1.021
-8.086 4.482 -1.092
```

The following is a DFT calculation (PBE-GGA) of crystalline NaSbPdBr2 at its relaxed geometry. Values from VASP.

Output
N(E_F): 4.07 states/eV/cell
E_tot: -2.52 eV per atom
density: 4903 kg/m³
formation energy (no corrections): 1.377 eV/f.u.
M_tot: 0.0 μB per cell

Geometry as Quantum ESPRESSO input:
```
&SYSTEM
  ibrav = 0, nat = 5, ntyp = 4
/
ATOMIC_SPECIES
Na 22.99 Na.upf
Br 79.90 Br.upf
Sb 121.76 Sb.upf
Pd 106.42 Pd.upf
ATOMIC_POSITIONS angstrom
Na 0.000 0.000 0.000
Br -0.507 2.514 -0.079
Br 2.497 0.513 0.291
Sb 1.680 3.046 2.837
Pd -0.310 0.020 2.625
CELL_PARAMETERS angstrom
-1.014 5.028 -0.158
-0.620 0.039 5.249
4.994 1.025 0.582
```

The following is a DFT calculation (PBE-GGA) of crystalline Ca2CrTe at its relaxed geometry. Values from VASP.

Output
N(E_F): 2.11 states/eV/cell
E_tot: -4.33 eV per atom
density: 3340 kg/m³
formation energy (no corrections): -0.541 eV/f.u.
M_tot: 4.1 μB per cell

Geometry as Quantum ESPRESSO input:
```
&SYSTEM
  ibrav = 0, nat = 4, ntyp = 3
/
ATOMIC_SPECIES
Te 127.60 Te.upf
Cr 52.00 Cr.upf
Ca 40.08 Ca.upf
ATOMIC_POSITIONS angstrom
Te 16.387 3.323 1.971
Cr 9.790 1.985 1.178
Ca 0.592 0.120 0.071
Ca 4.650 0.943 0.559
CELL_PARAMETERS angstrom
7.586 -0.788 -0.467
6.680 3.681 -0.467
6.680 1.355 3.454
```

The following is a DFT calculation (PBE-GGA) of crystalline Y2Cd2F at its relaxed geometry. Values from VASP.

Output
N(E_F): 6.47 states/eV/cell
E_tot: -4.41 eV per atom
density: 5798 kg/m³
formation energy (no corrections): -5.426 eV/f.u.
M_tot: 0.0 μB per cell

Geometry as Quantum ESPRESSO input:
```
&SYSTEM
  ibrav = 0, nat = 10, ntyp = 3
/
ATOMIC_SPECIES
Cd 112.41 Cd.upf
Y 88.91 Y.upf
F 19.00 F.upf
ATOMIC_POSITIONS angstrom
Cd 4.926 -1.356 -1.001
Y 1.587 -0.992 -1.654
Cd 5.620 -4.549 -2.596
Y 0.392 -4.316 -1.695
F 2.228 -3.085 -2.858
Cd 2.875 -6.065 -0.757
Y 2.870 -5.178 -4.061
Y 4.065 -1.854 -4.020
F 0.000 0.000 0.000
Cd 2.181 -2.873 0.839
CELL_PARAMETERS angstrom
-0.733 -6.533 -1.445
5.190 0.362 -4.270
3.345 -1.251 3.958
```

The following is a DFT calculation (PBE-GGA) of crystalline KZnO2 at its relaxed geometry. Values from VASP.

Output
N(E_F): 6.21 states/eV/cell
E_tot: -4.17 eV per atom
density: 3541 kg/m³
formation energy (no corrections): -4.394 eV/f.u.
M_tot: 1.9 μB per cell

Geometry as Quantum ESPRESSO input:
```
&SYSTEM
  ibrav = 0, nat = 8, ntyp = 3
/
ATOMIC_SPECIES
K 39.10 K.upf
O 16.00 O.upf
Zn 65.41 Zn.upf
ATOMIC_POSITIONS angstrom
K 2.976 5.952 1.807
O 5.116 1.488 0.904
O 7.440 8.092 2.711
Zn 0.000 0.000 0.000
Zn 5.952 2.976 1.807
O 0.835 4.464 0.904
K 2.976 2.976 0.000
O 4.464 3.811 2.711
CELL_PARAMETERS angstrom
5.952 0.000 0.000
0.000 5.952 0.000
2.976 2.976 3.614
```

The following is a DFT calculation (PBE-GGA) of crystalline Li6MgAu2 at its relaxed geometry. Values from VASP.

Output
N(E_F): 3.11 states/eV/cell
E_tot: -2.52 eV per atom
density: 5030 kg/m³
E above lowest polymorph: 0.000 eV/atom
energy relative to the elements: -0.33 eV/atom
M_tot: 0.0 μB per cell

Geometry as Quantum ESPRESSO input:
```
&SYSTEM
  ibrav = 0, nat = 9, ntyp = 3
/
ATOMIC_SPECIES
Li 6.94 Li.upf
Au 196.97 Au.upf
Mg 24.30 Mg.upf
ATOMIC_POSITIONS angstrom
Li 0.863 0.998 2.887
Au 3.339 1.128 4.168
Li 0.855 5.396 2.858
Au -0.308 5.181 -1.031
Li 2.168 5.310 0.251
Li 0.252 3.157 0.844
Mg 1.610 3.119 -1.614
Li 2.778 3.152 2.294
Li 2.176 0.913 0.280
CELL_PARAMETERS angstrom
3.842 0.000 -1.149
-0.622 6.238 -2.080
-0.189 0.071 6.367
```